(1)
This record from Alexandria via LeMat-Bulk describes BaZrTeI2 after structural relaxation. The functional is PBE.

abc: 5.745 5.745 5.748
angles: 90.00 90.00 90.00
Element x y z (fractional)
Ba (0.000, 0.000, 0.000)
Zr (0.500, 0.500, 0.500)
Te (0.500, 0.500, 0.000)
I (0.000, 0.500, 0.500)
I (0.500, 0.000, 0.500)

Polymorph energy (0 for the lowest one) (eV per atom): 0.000
Total magnetization (μB/f.u.): 0.486
Total DFT energy (no corrections) (Ha/atom): -0.1554
ΔE_f (raw) (meV/atom): -886

(2)
This record from Alexandria via LeMat-Bulk describes BaZrTe2I after structural relaxation. The functional is PBE.

abc: 6.407 6.407 6.325
angles: 90.00 90.00 90.00
Element x y z (fractional)
Ba (0.000, 0.000, 0.000)
Zr (0.500, 0.500, 0.500)
Te (0.000, 0.500, 0.000)
Te (0.500, 0.000, 0.000)
I (0.000, 0.000, 0.500)

Polymorph energy (0 for the lowest one) (eV per atom): 1.465
Total magnetization (μB/f.u.): 1.334
Total DFT energy (no corrections) (Ha/atom): -0.1182
ΔE_f (raw) (meV/atom): 444

(3)
This record from Alexandria via LeMat-Bulk describes BaZrTeI2 after structural relaxation. The functional is PBE.

abc: 6.319 6.319 7.891
angles: 90.00 90.00 90.00
Element x y z (fractional)
Ba (0.000, 0.000, 0.000)
Zr (0.000, 0.000, 0.500)
Te (0.500, 0.500, 0.500)
I (0.000, 0.500, 0.000)
I (0.500, 0.000, 0.000)

Polymorph energy (0 for the lowest one) (eV per atom): 1.335
Total magnetization (μB/f.u.): 2.000
Total DFT energy (no corrections) (Ha/atom): -0.1063
ΔE_f (raw) (meV/atom): 449

(4)
This record from Alexandria via LeMat-Bulk describes BaZrTe2I after structural relaxation. The functional is PBE.

abc: 5.719 5.719 5.705
angles: 90.00 90.00 90.00
Element x y z (fractional)
Ba (0.000, 0.000, 0.000)
Zr (0.500, 0.500, 0.500)
Te (0.000, 0.500, 0.500)
Te (0.500, 0.000, 0.500)
I (0.500, 0.500, 0.000)

Polymorph energy (0 for the lowest one) (eV per atom): 0.000
Total magnetization (μB/f.u.): 0.000
Total DFT energy (no corrections) (Ha/atom): -0.1721
ΔE_f (raw) (meV/atom): -1021

(5)
This record from Alexandria via LeMat-Bulk describes Ba2ThI8 after structural relaxation. The functional is PBE.

abc: 9.244 9.244 7.142
angles: 105.96 105.96 75.98
Element x y z (fractional)
Ba (0.156, 0.156, 0.381)
Ba (0.844, 0.844, 0.619)
Th (0.500, 0.500, 0.000)
I (0.093, 0.093, 0.816)
I (0.170, 0.547, 0.742)
I (0.374, 0.374, 0.256)
I (0.453, 0.830, 0.258)
I (0.547, 0.170, 0.742)
I (0.626, 0.626, 0.744)
I (0.830, 0.453, 0.258)
I (0.907, 0.907, 0.184)

Total magnetization (μB/f.u.): 0.000
Total DFT energy (no corrections) (Ha/atom): -0.1336
ΔE_f (raw) (meV/atom): -1484

(6)
This record from Alexandria via LeMat-Bulk describes BaThTl2I8 after structural relaxation. The functional is PBE.

abc: 7.798 10.063 8.192
angles: 90.00 91.75 90.00
Element x y z (fractional)
Ba (0.000, 0.000, 0.000)
Th (0.000, 0.500, 0.000)
Tl (0.500, 0.246, 0.500)
Tl (0.500, 0.754, 0.500)
I (0.212, 0.500, 0.317)
I (0.234, 0.278, 0.863)
I (0.234, 0.722, 0.863)
I (0.260, 0.000, 0.341)
I (0.740, 0.000, 0.659)
I (0.766, 0.278, 0.137)
I (0.766, 0.722, 0.137)
I (0.788, 0.500, 0.683)

Total magnetization (μB/f.u.): 0.000
Total DFT energy (no corrections) (Ha/atom): -0.1234
ΔE_f (raw) (meV/atom): -1152